a) A geometry-optimized CaAgHg3 structure. Source: Alexandria, functional PBE-GGA.

Geometry as POSCAR:
```
CaAgHg3
1.0
7.127 0.000 0.000
0.000 7.127 0.000
0.000 0.000 7.127
Ca Ag Hg
3 3 9
direct
0.000 0.000 0.500
0.000 0.500 0.000
0.500 0.000 0.000
0.000 0.500 0.500
0.500 0.000 0.500
0.500 0.500 0.000
0.000 0.000 0.000
0.276 0.276 0.276
0.276 0.276 0.724
0.276 0.724 0.276
0.276 0.724 0.724
0.724 0.276 0.276
0.724 0.276 0.724
0.724 0.724 0.276
0.724 0.724 0.724
```

* density of states at the Fermi level: 8.322 states/eV per cell


b) A geometry-optimized CaAgHg3 structure. Source: Alexandria, functional PBE-GGA.

Geometry as POSCAR:
```
CaAgHg3
1.0
9.933 0.000 0.000
0.000 5.016 0.000
0.000 0.000 9.887
Ca Ag Hg
4 4 12
direct
0.249 0.250 0.003
0.251 0.750 0.503
0.749 0.250 0.497
0.751 0.750 0.997
0.133 0.250 0.327
0.367 0.750 0.827
0.633 0.250 0.173
0.867 0.750 0.673
0.060 0.250 0.609
0.078 0.750 0.870
0.143 0.750 0.174
0.357 0.250 0.674
0.422 0.250 0.370
0.440 0.750 0.109
0.560 0.250 0.891
0.578 0.750 0.630
0.643 0.750 0.326
0.857 0.250 0.826
0.922 0.250 0.130
0.940 0.750 0.391
```

* density of states at the Fermi level: 8.644 states/eV per cell


Energies relative to the most stable structure, in meV per atom: a) 0; b) 39.


a) A geometry-optimized CaAgHg6 structure. Source: Alexandria, functional PBE-GGA.

Geometry as POSCAR:
```
CaAgHg6
1.0
10.002 0.000 0.000
0.000 4.566 0.000
-3.842 0.000 8.532
Ca Ag Hg
2 2 12
direct
0.000 0.000 0.000
0.500 0.500 0.000
0.000 0.000 0.500
0.500 0.500 0.500
0.008 0.500 0.748
0.245 0.000 0.854
0.246 0.500 0.610
0.254 0.000 0.390
0.255 0.500 0.146
0.492 0.000 0.252
0.508 0.000 0.748
0.745 0.500 0.854
0.746 0.000 0.610
0.754 0.500 0.390
0.755 0.000 0.146
0.992 0.500 0.252
```

* density of states at the Fermi level: 6.130 states/eV per cell


b) A geometry-optimized CaAgHg6 structure. Source: Alexandria, functional PBE-GGA.

Geometry as POSCAR:
```
CaAgHg6
1.0
5.149 0.000 0.000
0.000 6.617 0.000
0.000 0.000 11.462
Ca Ag Hg
2 2 12
direct
0.000 0.000 0.000
0.000 0.500 0.500
0.500 0.000 0.336
0.500 0.500 0.836
0.000 0.000 0.496
0.000 0.241 0.253
0.000 0.259 0.753
0.000 0.500 0.996
0.000 0.741 0.753
0.000 0.759 0.253
0.500 0.000 0.830
0.500 0.246 0.586
0.500 0.254 0.086
0.500 0.500 0.330
0.500 0.746 0.086
0.500 0.754 0.586
```

* density of states at the Fermi level: 6.610 states/eV per cell


Energies relative to the most stable structure, in meV per atom: a) 0; b) 9.